The following is a PBE calculation of a relaxed Pr5DyTm crystal, from Alexandria via LeMat-Bulk.

abc: 5.9509 8.1333 8.1333
angles: 66.50 68.61 68.61
Fractional positions:
Pr  0.7518  0.2482  0.2482
Pr  0.0000  0.6771  0.3229
Pr  0.5000  0.0000  0.0000
Pr  0.2482  0.7518  0.7518
Pr  0.0000  0.3229  0.6771
Dy  0.5000  0.5000  0.5000
Tm  0.0000  0.0000  0.0000

Output
total magnetic moment: 0.000 μB per formula unit
energy of formation from the pure elements: 0.958 eV/atom
space group: C2/m